Compound: RbBeGe
Source: the Alexandria database
Functional: GGA-PBE
Structure: relaxed

a = 3.893 Å, b = 4.240 Å, c = 12.290 Å
α = 88.85°, β = 80.92°, γ = 62.76°
Space group P1 (No. 1)
Unique sites:
Rb 0.000 0.000 0.000 (multiplicity 1)
Rb 0.242 0.126 0.383 (multiplicity 1)
Be 0.163 0.944 0.730 (multiplicity 1)
Be 0.727 0.918 0.627 (multiplicity 1)
Ge 0.435 0.544 0.584 (multiplicity 1)
Ge 0.457 0.306 0.781 (multiplicity 1)

V: 29.6 A^3/atom
electronic total energy: -2.99 eV/atom

Compound: RbBeGe
Source: the Alexandria database
Functional: GGA-PBE
Structure: relaxed

a = 4.202 Å, b = 6.661 Å, c = 6.802 Å
α = 109.17°, β = 103.51°, γ = 90.27°
Space group P-1 (No. 2)
Unique sites:
Rb 0.146 0.301 0.190 (multiplicity 2)
Be 0.098 0.864 0.407 (multiplicity 2)
Ge 0.435 0.145 0.688 (multiplicity 2)

V: 29.0 A^3/atom
electronic total energy: -3.01 eV/atom